VASP calculation (PBE+U) on a geometry-optimized CoPdIO2 structure.

## Properties
Magnetic moment   2.0 μB per formula unit
Energy above the most stable polymorph in this dataset   278.1 meV per atom

Geometry as CIF:
```
data_CoPdIO2
_chemical_formula_sum 'Co1 Pd1 I1 O2'
_symmetry_space_group_name_H-M 'P 4/m m m'
_symmetry_Int_Tables_number 123
_symmetry_space_group_name_Hall '-P 4 2'
_cell_length_a 3.828
_cell_length_b 3.828
_cell_length_c 7.733
_cell_angle_alpha 90.00
_cell_angle_beta 90.00
_cell_angle_gamma 90.00
loop_
_atom_site_label
_atom_site_fract_x
_atom_site_fract_y
_atom_site_fract_z
Co1 0.000 0.000 0.000
Pd1 0.500 0.500 0.500
I1 0.500 0.500 0.000
O1 0.000 0.500 0.500
```